TbNd12Co6: optimized geometry, PBE.

abc: 10.093 10.093 10.093
angles: 90.00 90.00 90.00
Space group Im-3 (No. 204)
Asymmetric unit:
Tb: 0.000 0.000 0.000 x2
Nd: 0.000 0.195 0.310 x24
Co: 0.000 0.389 0.500 x12

Values from the calculation:
ΔH_f (0 K) in eV/atom: -0.04


TbNd2Co: optimized geometry, PBE.

abc: 3.6648 3.6648 31.4386
angles: 90.00 90.00 120.00
Space group R-3m (No. 166, hexagonal axes)
Asymmetric unit:
Tb: 0.0000 0.0000 0.0000 x3
Nd: 0.0000 0.0000 0.1121 x6
Co: 0.0000 0.0000 0.5000 x3

Values from the calculation:
ΔH_f (0 K) in eV/atom: 0.24


Tb3NdCo2: optimized geometry, PBE.

abc: 16.647 3.754 11.910
angles: 90.00 125.09 90.00
Space group C2/m (No. 12)
Asymmetric unit:
Tb: 0.084 0.000 0.447 x4
Tb: 0.086 0.000 0.940 x4
Tb: 0.158 0.500 0.750 x4
Nd: 0.156 0.500 0.246 x4
Co: 0.234 0.500 0.047 x4
Co: 0.236 0.500 0.549 x4

Values from the calculation:
ΔH_f (0 K) in eV/atom: -0.11


Tb12NdCo6: optimized geometry, PBE.

abc: 9.819 9.819 9.819
angles: 90.00 90.00 90.00
Space group Im-3 (No. 204)
Asymmetric unit:
Tb: 0.000 0.194 0.310 x24
Nd: 0.000 0.000 0.000 x2
Co: 0.000 0.387 0.500 x12

Values from the calculation:
ΔH_f (0 K) in eV/atom: -0.12


TbNdCo2: optimized geometry, PBE.

abc: 6.822 6.822 6.822
angles: 90.00 90.00 90.00
Space group Fm-3m (No. 225)
Asymmetric unit:
Tb: 0.000 0.000 0.000 x4
Nd: 0.000 0.000 0.500 x4
Co: 0.250 0.250 0.250 x8

Values from the calculation:
ΔH_f (0 K) in eV/atom: -0.02


TbNdCo: optimized geometry, PBE.

abc: 12.387 3.729 8.230
angles: 90.00 126.63 90.00
Space group C2/m (No. 12)
Asymmetric unit:
Tb: 0.077 0.000 0.389 x4
Nd: 0.175 0.500 0.089 x4
Co: 0.113 0.500 0.691 x4

Values from the calculation:
ΔH_f (0 K) in eV/atom: -0.10


TbNd2Co6: optimized geometry, PBE.

abc: 6.7273 6.7273 4.1710
angles: 90.00 90.00 120.00
Space group P6/mmm (No. 191)
Asymmetric unit:
Tb: 0.0000 0.0000 0.0000 x1
Nd: 0.3333 0.6667 0.0000 x2
Co: 0.0000 0.3316 0.5000 x6

Values from the calculation:
ΔH_f (0 K) in eV/atom: -0.10


TbNdCo: optimized geometry, PBE.

abc: 3.428 3.428 12.965
angles: 90.00 90.00 90.00
Space group I4mm (No. 107)
Asymmetric unit:
Tb: 0.000 0.000 0.000 x2
Nd: 0.000 0.000 0.746 x2
Co: 0.000 0.000 0.380 x2

Values from the calculation:
ΔH_f (0 K) in eV/atom: -0.03


Tb2NdCo2: optimized geometry, PBE.

abc: 11.500 3.772 5.564
angles: 90.00 104.30 90.00
Space group C2/m (No. 12)
Asymmetric unit:
Tb: 0.149 0.000 0.083 x4
Nd: 0.000 0.500 0.500 x2
Co: 0.222 0.000 0.604 x4

Values from the calculation:
ΔH_f (0 K) in eV/atom: -0.03


Tb2NdCo: optimized geometry, PBE.

abc: 3.6564 3.6564 31.1228
angles: 90.00 90.00 120.00
Space group R-3m (No. 166, hexagonal axes)
Asymmetric unit:
Tb: 0.0000 0.0000 0.1157 x6
Nd: 0.0000 0.0000 0.0000 x3
Co: 0.0000 0.0000 0.5000 x3

Values from the calculation:
ΔH_f (0 K) in eV/atom: 0.13


TbNd2Co: optimized geometry, PBE.

abc: 3.8412 3.8412 27.6718
angles: 90.00 90.00 120.00
Space group R3m (No. 160, hexagonal axes)
Asymmetric unit:
Tb: 0.0000 0.0000 0.0000 x3
Nd: 0.0000 0.0000 0.5576 x3
Nd: 0.0000 0.0000 0.7745 x3
Co: 0.0000 0.0000 0.1657 x3

Values from the calculation:
ΔH_f (0 K) in eV/atom: 0.08


TbNdCo: optimized geometry, PBE.

abc: 6.748 6.748 6.748
angles: 90.00 90.00 90.00
Space group F-43m (No. 216)
Asymmetric unit:
Tb: 0.000 0.000 0.000 x4
Nd: 0.000 0.000 0.500 x4
Co: 0.250 0.250 0.750 x4

Values from the calculation:
ΔH_f (0 K) in eV/atom: 0.01


Tb3NdCo8: optimized geometry, PBE.

abc: 5.1038 5.1038 25.0303
angles: 90.00 90.00 120.00
Space group R3m (No. 160, hexagonal axes)
Asymmetric unit:
Tb: 0.0000 0.0000 0.0000 x3
Tb: 0.0000 0.0000 0.1247 x3
Tb: 0.0000 0.0000 0.4998 x3
Nd: 0.0000 0.0000 0.6250 x3
Co: 0.0000 0.0000 0.3128 x3
Co: 0.0000 0.0000 0.8122 x3
Co: 0.0029 0.5015 0.0635 x9
Co: 0.1675 0.3351 0.8945 x9

Values from the calculation:
ΔH_f (0 K) in eV/atom: -0.14


Tb2Nd3Co2: optimized geometry, PBE.

abc: 12.159 3.783 8.975
angles: 90.00 115.36 90.00
Space group C2/m (No. 12)
Asymmetric unit:
Tb: 0.176 0.000 0.309 x4
Nd: 0.000 0.500 0.500 x2
Nd: 0.115 0.500 0.924 x4
Co: 0.184 0.000 0.744 x4

Values from the calculation:
ΔH_f (0 K) in eV/atom: -0.08


Tb2NdCo: optimized geometry, PBE.

abc: 3.8084 3.8084 27.2518
angles: 90.00 90.00 120.00
Space group R3m (No. 160, hexagonal axes)
Asymmetric unit:
Tb: 0.0000 0.0000 0.0000 x3
Tb: 0.0000 0.0000 0.2228 x3
Nd: 0.0000 0.0000 0.4466 x3
Co: 0.0000 0.0000 0.6114 x3

Values from the calculation:
ΔH_f (0 K) in eV/atom: -0.02


TbNdCo: optimized geometry, PBE.

abc: 5.442 10.979 19.545
angles: 90.00 90.00 90.00
Space group Fddd (No. 70, origin choice 2)
Asymmetric unit:
Tb: 0.125 0.125 0.034 x16
Nd: 0.125 0.280 0.625 x16
Co: 0.125 0.125 0.502 x16

Values from the calculation:
ΔH_f (0 K) in eV/atom: -0.02


TbNdCo: optimized geometry, PBE.

abc: 3.9557 3.9557 6.2560
angles: 90.00 90.00 120.00
Space group P3m1 (No. 156)
Asymmetric unit:
Tb: 0.0000 0.0000 0.0000 x1
Nd: 0.3333 0.6667 0.4630 x1
Co: 0.6667 0.3333 0.2251 x1

Values from the calculation:
ΔH_f (0 K) in eV/atom: -0.02


TbNdTlCo: optimized geometry, PBE.

abc: 7.369 7.369 7.369
angles: 90.00 90.00 90.00
Space group F-43m (No. 216)
Asymmetric unit:
Tb: 0.000 0.000 0.000 x4
Nd: 0.000 0.000 0.500 x4
Tl: 0.250 0.250 0.750 x4
Co: 0.250 0.250 0.250 x4

Values from the calculation:
ΔH_f (0 K) in eV/atom: -0.07


TbNdZnCo: optimized geometry, PBE.

abc: 4.323 3.942 10.682
angles: 90.00 90.00 90.00
Space group Amm2 (No. 38)
Asymmetric unit:
Tb: 0.000 0.000 0.000 x2
Nd: 0.500 0.000 0.719 x2
Zn: 0.000 0.000 0.298 x2
Co: 0.500 0.000 0.424 x2

Values from the calculation:
ΔH_f (0 K) in eV/atom: -0.18


TbNdZnCo: optimized geometry, PBE.

abc: 7.033 7.033 7.033
angles: 90.00 90.00 90.00
Space group F-43m (No. 216)
Asymmetric unit:
Tb: 0.000 0.000 0.000 x4
Nd: 0.000 0.000 0.500 x4
Zn: 0.250 0.250 0.750 x4
Co: 0.250 0.250 0.250 x4

Values from the calculation:
ΔH_f (0 K) in eV/atom: -0.15


Nd8Co2Tc: optimized geometry, PBE.

abc: 8.237 12.986 6.122
angles: 90.00 110.09 90.00
Space group Cm (No. 8)
Asymmetric unit:
Nd: 0.000 0.000 0.000 x2
Nd: 0.073 0.372 0.776 x4
Nd: 0.148 0.129 0.590 x4
Nd: 0.223 0.500 0.368 x2
Nd: 0.360 0.211 0.184 x4
Co: 0.361 0.298 0.684 x4
Tc: 0.363 0.000 0.195 x2

Values from the calculation:
ΔH_f (0 K) in eV/atom: 0.07


Nd12Co5Te: optimized geometry, PBE.

abc: 9.785 9.888 10.189
angles: 90.00 90.00 90.00
Space group Immm (No. 71)
Asymmetric unit:
Nd: 0.000 0.192 0.196 x8
Nd: 0.190 0.500 0.189 x8
Nd: 0.204 0.315 0.500 x8
Co: 0.000 0.000 0.000 x2
Co: 0.000 0.381 0.000 x4
Co: 0.000 0.500 0.390 x4
Te: 0.000 0.000 0.500 x2

Values from the calculation:
Uncorrected formation energy in eV per atom: -0.2003


Number 1: total moment 0.0 μB/f.u., uncorrected energy -5.5417 eV/atom. Number 2: total moment 0.0 μB/f.u., uncorrected energy -5.0821 eV/atom. Number 3: total moment 0.0 μB/f.u., uncorrected energy -5.5908 eV/atom. Number 4: total moment 0.0 μB/f.u., uncorrected energy -5.5441 eV/atom. Number 5: total moment 0.8 μB/f.u., uncorrected energy -5.9264 eV/atom. Number 6: total moment 0.0 μB/f.u., uncorrected energy -5.6062 eV/atom. Number 7: total moment 4.5 μB/f.u., uncorrected energy -6.4141 eV/atom. Number 8: total moment 0.7 μB/f.u., uncorrected energy -5.5302 eV/atom. Number 9: total moment 0.0 μB/f.u., uncorrected energy -5.6801 eV/atom. Number 10: total moment 0.0 μB/f.u., uncorrected energy -5.1501 eV/atom. Number 11: total moment 0.1 μB/f.u., uncorrected energy -5.2394 eV/atom. Number 12: total moment 0.0 μB/f.u., uncorrected energy -5.4891 eV/atom. Number 13: total moment 7.6 μB/f.u., uncorrected energy -6.4333 eV/atom. Number 14: total moment 0.0 μB/f.u., uncorrected energy -5.4789 eV/atom. Number 15: total moment 0.0 μB/f.u., uncorrected energy -5.2986 eV/atom. Number 16: total moment 0.0 μB/f.u., uncorrected energy -5.5189 eV/atom. Number 17: total moment 0.0 μB/f.u., uncorrected energy -5.5195 eV/atom. Number 18: total moment 1.2 μB/f.u., uncorrected energy -4.7919 eV/atom. Number 19: total moment 0.0 μB/f.u., uncorrected energy -4.6217 eV/atom. Number 20: total moment 0.0 μB/f.u., uncorrected energy -4.5989 eV/atom. Number 21: total moment 0.0 μB/f.u., uncorrected energy -5.6307 eV/atom. Number 22: total moment 0.0 μB/f.u., uncorrected energy -5.5273 eV/atom.